A relaxed structure of Cs2TlSbBr6. Source: Alexandria via LeMat-Bulk, functional GGA-PBE.

Calculated values
**Fermi-level density of states**: 0.000 states/eV per cell
**Distance to the lowest polymorph of the same formula**: 0.00 eV per formula unit
**DFT total energy**: -0.1105 Ha/atom
**Formation energy from raw total energies**: -114.2 kJ per mole of atoms
**Crystal system**: monoclinic

Cell lengths 8.2456, 8.5973, 14.4835 Å; angles 90.00, 124.66, 90.00 degrees
Closest atoms and distances in Å follow each position.
Space group P2_1/c (No. 14)
One atom of each set of equivalent atoms:
Cs (0.2308, 0.0622, 0.2492) [4 per cell]  8 Br 3.71-4.10
Tl (0.5000, 0.0000, 0.0000) [2 per cell]  6 Br 3.25-3.29
Sb (0.0000, 0.0000, 0.5000) [2 per cell]  6 Br 2.83-2.84
Br (0.1462, 0.2252, 0.9625) [4 per cell]  1 Sb 2.84
Br (0.2421, 0.6859, 0.9628) [4 per cell]  1 Sb 2.84
Br (0.3049, 0.0134, 0.7321) [4 per cell]  1 Sb 2.83


A relaxed structure of CsTl2SbBr6. Source: Alexandria via LeMat-Bulk, functional GGA-PBE.

Calculated values
**Fermi-level density of states**: 0.000 states/eV per cell
**DFT total energy**: -0.1076 Ha/atom
**Formation energy from raw total energies**: -92.1 kJ per mole of atoms
**Crystal system**: triclinic

Cell lengths 8.3168, 8.3268, 8.7141 Å; angles 61.48, 61.50, 60.04 degrees
Closest atoms and distances in Å follow each position.
Space group P1 (No. 1)
One atom of each set of equivalent atoms:
Cs (0.0000, 0.0000, 0.0000) [1 per cell]  6 Br 3.56-3.79
Tl (0.1982, 0.1972, 0.4063) [1 per cell]  6 Br 3.30-3.46
Tl (0.7164, 0.7160, 0.8508) [1 per cell]  6 Br 3.35-3.40
Sb (0.5165, 0.5162, 0.4505) [1 per cell]  6 Br 2.84-2.86
Br (0.1647, 0.7388, 0.6650) [1 per cell]  1 Sb 2.86
Br (0.3438, 0.5739, 0.2059) [1 per cell]  1 Sb 2.84
Br (0.4318, 0.1640, 0.6647) [1 per cell]  1 Sb 2.86
Br (0.5742, 0.8754, 0.2054) [1 per cell]  1 Sb 2.85
Br (0.7403, 0.4312, 0.6642) [1 per cell]  1 Sb 2.86
Br (0.8757, 0.3444, 0.2054) [1 per cell]  1 Sb 2.84


A relaxed structure of Cs2TlSbBr6. Source: Alexandria via LeMat-Bulk, functional GGA-PBE.

Calculated values
**Distance to the lowest polymorph of the same formula**: 0.13 eV per formula unit
**DFT total energy**: -0.1100 Ha/atom
**Formation energy from raw total energies**: -113.0 kJ per mole of atoms
**Crystal system**: cubic

Cell lengths 11.9589, 11.9589, 11.9589 Å; angles 90.00, 90.00, 90.00 degrees
Closest atoms and distances in Å follow each position.
Space group Fm-3m (No. 225)
One atom of each set of equivalent atoms:
Cs (0.2500, 0.2500, 0.2500) [8 per cell]  12 Br 4.23
Tl (0.0000, 0.0000, 0.0000) [4 per cell]  6 Br 3.16
Sb (0.0000, 0.0000, 0.5000) [4 per cell]  6 Br 2.82
Br (0.0000, 0.0000, 0.2644) [24 per cell]  1 Sb 2.82


A relaxed structure of CsTlSbBr6. Source: Alexandria via LeMat-Bulk, functional GGA-PBE.

Calculated values
**Fermi-level density of states**: 6.686 states/eV per cell
**DFT total energy**: -0.1022 Ha/atom
**Formation energy from raw total energies**: -81.9 kJ per mole of atoms
**Crystal system**: trigonal

Cell lengths 7.6740, 7.6740, 7.9510 Å; angles 90.00, 90.00, 120.00 degrees
Closest atoms and distances in Å follow each position.
Space group P312 (No. 149)
One atom of each set of equivalent atoms:
Cs (0.0000, 0.0000, 0.0000) [1 per cell]  6 Br 3.70
Tl (0.3333, 0.6667, 0.5000) [1 per cell]  6 Br 3.04
Sb (0.6667, 0.3333, 0.5000) [1 per cell]  6 Br 2.85
Br (0.3906, 0.0196, 0.7147) [6 per cell]  1 Sb 2.85, 1 Tl 3.04


A relaxed structure of Cs2VSbBr. Source: Alexandria via LeMat-Bulk, functional GGA-PBE.

Calculated values
**Fermi-level density of states**: 29.908 states/eV per cell
**DFT total energy**: -0.1004 Ha/atom
**Formation energy from raw total energies**: 57.2 kJ per mole of atoms
**Crystal system**: tetragonal

Cell lengths 7.5098, 7.5098, 5.6897 Å; angles 90.00, 90.00, 90.00 degrees
Closest atoms and distances in Å follow each position.
Space group P4/mmm (No. 123)
One atom of each set of equivalent atoms:
Cs (0.0000, 0.5000, 0.0000) [2 per cell]  2 Sb 3.75
V (0.0000, 0.0000, 0.5000) [1 per cell]  8 Cs 4.71
Sb (0.5000, 0.5000, 0.0000) [1 per cell]  2 Br 2.84
Br (0.5000, 0.5000, 0.5000) [1 per cell]  2 Sb 2.84


A relaxed structure of Cs2SbWBr6. Source: Alexandria via LeMat-Bulk, functional GGA-PBE.

Calculated values
**Fermi-level density of states**: 5.589 states/eV per cell
**DFT total energy**: -0.1322 Ha/atom
**Formation energy from raw total energies**: -68.9 kJ per mole of atoms
**Crystal system**: tetragonal

Cell lengths 7.8282, 7.8282, 12.5960 Å; angles 90.00, 90.00, 90.00 degrees
Closest atoms and distances in Å follow each position.
Space group I4/mmm (No. 139)
One atom of each set of equivalent atoms:
Cs (0.0000, 0.5000, 0.2500) [4 per cell]  12 Br 3.95-4.19
Sb (0.0000, 0.0000, 0.0000) [2 per cell]  4 Br 2.90
W (0.0000, 0.0000, 0.5000) [2 per cell]  6 Br 2.60-2.63
Br (0.0000, 0.0000, 0.2932) [4 per cell]  1 W 2.60
Br (0.2380, 0.2380, 0.5000) [8 per cell]  1 W 2.63, 1 Sb 2.90